First-principles (PBE with a Hubbard U) data for an optimized crystal structure of MgV2O4, as listed in Alexandria via LeMat-Bulk.

Results
Its magnetic moment is 4.0 μB/f.u. Its theoretical density is 4002 kg/m³. As for the energy above the most stable polymorph in this dataset: 8.8 kJ/mol of atoms.

Cell: 5.1532 5.9106 10.3625 Å, 90.00 90.00 90.00°
Each line ends with the local moment (μB).
Atoms (fractional coordinates):
O 0.1975 0.5000 0.6523  -0.02
O 0.1421 0.0000 0.6392  -0.01
O 0.3339 0.7544 0.8651  0.00
V 0.4859 0.0000 0.7324  1.92
V 0.5141 0.5000 0.7676  1.92
O 0.3339 0.2456 0.8651  0.00
V 0.0000 0.7500 0.2500  1.89
O 0.6661 0.2544 0.6349  0.00
O 0.8579 0.5000 0.8608  -0.01
V 0.0000 0.2500 0.7500  1.89
O 0.8025 0.0000 0.8477  -0.02
V 0.5141 0.5000 0.2324  1.92
O 0.6661 0.7456 0.6349  0.00
Mg 0.5177 0.0000 0.0000  0.00
O 0.1421 0.0000 0.3608  -0.01
O 0.8579 0.5000 0.1392  -0.01
O 0.1975 0.5000 0.3477  -0.02
O 0.3339 0.2456 0.1349  0.00
O 0.3339 0.7544 0.1349  0.00
Mg 0.4823 0.5000 0.5000  0.00
Mg 0.8483 0.0000 0.5000  0.00
V 0.4859 0.0000 0.2676  1.92
Mg 0.1517 0.5000 0.0000  0.00
O 0.6661 0.7456 0.3651  0.00
V 0.0000 0.2500 0.2500  1.89
O 0.6661 0.2544 0.3651  0.00
V 0.0000 0.7500 0.7500  1.89
O 0.8025 0.0000 0.1523  -0.02